DFT (PBE-GGA) results for a relaxed structure of ScCd.

Structure (POSCAR):
```
ScCd
1.0
0.000 2.933 2.933
2.933 0.000 2.933
2.933 2.933 0.000
Sc Cd
1 1
direct
0.000 0.000 0.000
0.500 0.500 0.500
```

* formation energy from the elements: 0.253 eV/f.u.
* calculated total energy: -3.497 eV per atom
* density of states at the Fermi level: 2.1 states/eV per cell

DFT (PBE-GGA) results for a relaxed structure of Pu2MgHg.

Structure (POSCAR):
```
Pu2MgHg
1.0
1.609 0.929 11.924
-1.609 0.929 11.924
0.000 -1.858 11.924
Pu Mg Hg
2 1 1
direct
0.090 0.090 0.090
0.910 0.910 0.910
0.000 0.000 0.000
0.500 0.500 0.500
```

* relative energy among the computed polymorphs: 201 meV per atom
* formation energy from the elements: 1.037 eV/f.u.
* calculated total energy: -7.381 eV per atom
* density of states at the Fermi level: 15.8 states/eV per cell

DFT (PBE-GGA) results for a relaxed structure of LaReW.

Structure (POSCAR):
```
LaReW
1.0
3.130 0.000 0.000
-1.565 2.711 0.000
0.000 0.000 7.323
La Re W
1 1 1
direct
0.000 0.000 0.000
0.667 0.333 0.372
0.333 0.667 0.616
```

* relative energy among the computed polymorphs: 502 meV per atom
* formation energy from the elements: 2.117 eV/f.u.
* calculated total energy: -9.404 eV per atom
* density of states at the Fermi level: 2.9 states/eV per cell

Look up the calculated total energy of the third one.
-9.404 eV per atom